The following is a GGA-PBEsol calculation of a relaxed Be2IrCl crystal, from Alexandria.

Calculated values
Energy relative to the elements, uncorrected   348 meV/atom
Raw total energy   -4.61 eV/atom
Excess energy over the best structure of this formula in the dataset   2.13 eV/f.u.

a b c (Å): 3.108 3.108 10.976
angles (deg): 90.00 90.00 90.00
Atoms (fractional coordinates):
Be (0.000, 0.000, 0.000)
Be (0.000, 0.500, 0.250)
Be (0.500, 0.000, 0.750)
Be (0.500, 0.500, 0.500)
Ir (0.000, 0.500, 0.750)
Ir (0.500, 0.000, 0.250)
Cl (0.000, 0.000, 0.500)
Cl (0.500, 0.500, 0.000)

***

The following is a GGA-PBEsol calculation of a relaxed LiFeI3 crystal, from Alexandria.

Calculated values
Energy relative to the elements, uncorrected   -168 meV/atom
Raw total energy   -3.41 eV/atom

a b c (Å): 5.449 5.449 5.449
angles (deg): 90.00 90.00 90.00
Atoms (fractional coordinates):
Li (0.000, 0.000, 0.000)
Fe (0.500, 0.500, 0.500)
I (0.000, 0.500, 0.500)
I (0.500, 0.000, 0.500)
I (0.500, 0.500, 0.000)